1.
Sm5Y4Ho2 | PBE | relaxed

a = 3.530 Å, b = 9.116 Å, c = 12.728 Å
α = 110.99°, β = 97.97°, γ = 90.00°
Positions (direct):
Y1 0.000 0.689 0.000
Sm1 0.853 0.653 0.707
Ho1 0.731 0.731 0.462
Sm2 0.147 0.347 0.293
Sm3 0.853 0.053 0.707
Sm4 0.500 0.000 0.000
Sm5 0.147 0.947 0.293
Ho2 0.269 0.269 0.538
Y2 0.598 0.598 0.196
Y3 0.402 0.402 0.804
Y4 0.000 0.311 0.000

- space group = Immm, No. 71
- energy relative to the lowest polymorph listed for this composition (eV per atom) = 0.110
- final energy (eV/atom) = -5.099
- E_form (eV/atom) = 0.229

---

2.
SmY6Ho12 | PBE | relaxed

a = 9.365 Å, b = 9.365 Å, c = 9.365 Å
α = 108.59°, β = 108.59°, γ = 108.59°
Positions (direct):
Y1 0.324 0.752 0.324
Ho1 0.156 0.366 0.366
Ho2 0.892 0.108 0.500
Y2 0.324 0.324 0.752
Ho3 0.366 0.156 0.366
Ho4 0.634 0.844 0.634
Sm1 0.000 0.000 0.000
Y3 0.752 0.324 0.324
Ho5 0.366 0.366 0.156
Ho6 0.108 0.500 0.892
Y4 0.248 0.676 0.676
Ho7 0.108 0.892 0.500
Ho8 0.844 0.634 0.634
Y5 0.676 0.248 0.676
Y6 0.676 0.676 0.248
Ho9 0.500 0.892 0.108
Ho10 0.634 0.634 0.844
Ho11 0.500 0.108 0.892
Ho12 0.892 0.500 0.108

- space group = R-3m, No. 166
- energy relative to the lowest polymorph listed for this composition (eV per atom) = 0.292
- final energy (eV/atom) = -4.728
- E_form (eV/atom) = 0.453

---

3.
SmY5Ho3 | PBE | relaxed

a = 8.684 Å, b = 8.684 Å, c = 9.845 Å
α = 116.17°, β = 116.17°, γ = 90.00°
Positions (direct):
Sm1 0.750 0.250 0.500
Ho1 0.883 0.617 0.000
Y1 0.067 0.567 0.728
Ho2 0.617 0.117 0.000
Y2 0.433 0.339 0.272
Y3 0.933 0.433 0.272
Y4 0.661 0.161 0.728
Y5 0.161 0.067 0.728
Sm2 0.250 0.750 0.500
Ho3 0.117 0.383 0.000
Y6 0.339 0.839 0.272
Ho4 0.383 0.883 0.000
Y7 0.567 0.661 0.728
Y8 0.000 0.000 0.000
Ho5 0.750 0.750 0.500
Ho6 0.250 0.250 0.500
Y9 0.839 0.933 0.272
Y10 0.500 0.500 0.000

- space group = I4/mcm, No. 140
- energy relative to the lowest polymorph listed for this composition (eV per atom) = 0.063
- final energy (eV/atom) = -5.359
- E_form (eV/atom) = 0.283

---

4.
SmY8Ho5 | PBE | relaxed

a = 8.446 Å, b = 8.446 Å, c = 8.446 Å
α = 111.32°, β = 105.84°, γ = 111.32°
Positions (direct):
Ho1 0.284 0.100 0.963
Y1 0.079 0.749 0.473
Sm1 0.250 0.500 0.750
Ho2 0.037 0.321 0.137
Y2 0.670 0.394 0.921
Ho3 0.816 0.679 0.716
Y3 0.527 0.606 0.276
Y4 0.167 0.741 0.079
Y5 0.573 0.912 0.833
Y6 0.339 0.259 0.427
Ho4 0.500 0.000 0.500
Y7 0.724 0.251 0.330
Y8 0.921 0.088 0.661
Ho5 0.863 0.900 0.184

- space group = I-4, No. 82
- final energy (eV/atom) = -5.418
- E_form (eV/atom) = 0.247

---

5.
SmY3Ho | PBE | relaxed

a = 3.624 Å, b = 8.491 Å, c = 11.696 Å
α = 90.00°, β = 90.00°, γ = 102.28°
Positions (direct):
Sm1 0.002 0.505 0.250
Y1 0.154 0.807 0.999
Ho1 0.666 0.831 0.750
Ho2 0.334 0.169 0.250
Y2 0.674 0.849 0.250
Sm2 0.998 0.495 0.750
Y3 0.326 0.151 0.750
Y4 0.846 0.193 0.001
Y5 0.846 0.193 0.499
Y6 0.154 0.807 0.501

- space group = P2_1/m, No. 11
- energy relative to the lowest polymorph listed for this composition (eV per atom) = 0.281
- final energy (eV/atom) = -5.435
- E_form (eV/atom) = 0.303

---

6.
Sm2Y6Ho | PBE | relaxed

a = 6.935 Å, b = 10.507 Å, c = 10.507 Å
α = 55.05°, β = 70.71°, γ = 70.71°
Positions (direct):
Y1 0.155 0.015 0.675
Y2 0.488 0.680 0.343
Y3 0.824 0.341 0.011
Y4 0.176 0.659 0.989
Y5 0.676 0.989 0.659
Y6 0.988 0.343 0.680
Sm1 0.417 0.332 0.333
Y7 0.012 0.657 0.320
Ho1 0.750 0.000 0.000
Sm2 0.917 0.333 0.332
Ho2 0.250 0.000 0.000
Y8 0.845 0.985 0.325
Y9 0.512 0.320 0.657
Y10 0.345 0.325 0.985
Y11 0.324 0.011 0.341
Sm3 0.583 0.668 0.667
Y12 0.655 0.675 0.015
Sm4 0.083 0.667 0.668

- space group = Ibam, No. 72
- energy relative to the lowest polymorph listed for this composition (eV per atom) = 0.000
- final energy (eV/atom) = -5.797
- E_form (eV/atom) = 0.069

---

7.
SmY2Ho | PBE | relaxed

a = 5.055 Å, b = 5.054 Å, c = 5.054 Å
α = 90.00°, β = 90.00°, γ = 90.00°
Positions (direct):
Y1 0.000 0.500 0.000
Y2 0.000 0.000 0.500
Ho1 0.500 0.500 0.500
Sm1 0.500 0.000 0.000

- space group = P4/mmm, No. 123
- energy relative to the lowest polymorph listed for this composition (eV per atom) = 0.014
- final energy (eV/atom) = -5.533
- E_form (eV/atom) = 0.023

---

8.
Sm5Y12Ho2 | PBE | relaxed

a = 6.310 Å, b = 12.133 Å, c = 17.367 Å
α = 151.24°, β = 102.64°, γ = 80.19°
Positions (direct):
Y1 0.241 0.248 0.038
Y2 0.837 0.880 0.707
Sm1 0.369 0.669 0.663
Sm2 0.217 0.682 0.173
Y3 0.689 0.907 0.239
Y4 0.916 0.469 0.629
Y5 0.460 0.244 0.572
Sm3 0.000 0.000 0.500
Y6 0.267 0.541 0.898
Sm4 0.631 0.331 0.337
Sm5 0.783 0.318 0.827
Ho1 0.252 0.933 0.999
Y7 0.311 0.093 0.761
Y8 0.540 0.756 0.428
Ho2 0.748 0.067 0.001
Y9 0.163 0.120 0.293
Y10 0.084 0.531 0.371
Y11 0.759 0.752 0.962
Y12 0.733 0.459 0.102

- space group = P-1, No. 2
- energy relative to the lowest polymorph listed for this composition (eV per atom) = 0.000
- final energy (eV/atom) = -5.749
- E_form (eV/atom) = 0.057